This record from Alexandria via LeMat-Bulk describes an optimized crystal structure of Sr2LiNdTe4. The functional is PBE-GGA.

abc: 7.9342 4.6229 7.9534
angles: 90.00 109.04 90.00
With the nearest neighbours (Å) after each atom.
Fractional positions:
Sr  0.0000  0.0000  0.0000  6 Te 3.31-3.33
Sr  0.5000  0.5000  0.0000  6 Te 3.34
Li  0.0000  0.5000  0.5000  6 Te 3.13-3.19
Nd  0.5000  0.0000  0.5000  6 Te 3.16-3.20
Te  0.2441  0.0000  0.7324  1 Nd 3.16, 2 Li 3.19, 3 Sr 3.31-3.34
Te  0.2519  0.5000  0.2675  1 Li 3.13, 2 Nd 3.20, 3 Sr 3.33-3.34
Te  0.7481  0.5000  0.7325  1 Li 3.13, 2 Nd 3.20, 3 Sr 3.33-3.34
Te  0.7559  0.0000  0.2676  1 Nd 3.16, 2 Li 3.19, 3 Sr 3.31-3.34

Calculated values
- Space group: P2/m (10)
- M_tot: 0.00 μB/cell
- Uncorrected formation energy: -1.49 eV per atom
- Density: 5.0 Mg/m³
- VASP energy: -4.31 eV/atom